Compound: CuSnTe3
Source: the Alexandria database
Functional: PBE-GGA
Structure: optimized geometry

abc: 6.730 3.247 14.419
angles: 90.00 101.72 90.00
Space group P2_1/m (No. 11)
Inequivalent atoms, fractional coordinates:
Cu 0.111 0.250 0.198 [2 per cell]
Sn 0.323 0.250 0.622 [2 per cell]
Te 0.072 0.250 0.374 [2 per cell]
Te 0.105 0.250 0.926 [2 per cell]
Te 0.496 0.250 0.196 [2 per cell]

Values from the calculation:
Its size of the total moment is 0.0 μB per formula unit. The volume comes out at 308.6 Å³/cell. The value obtained for the raw formation energy is 0.04 eV per atom. The calculation puts the polymorph energy (0 for the lowest one) at 0.000 eV/atom.